No. 1
{"formula": "CeHoP", "functional": "PBE", "state": "relaxed", "e_form_mev_per_atom": -703, "lattice_angstrom": [[3.4927, 0.0000, 0.0000], [0.0000, 24.1624, 0.0000], [0.0000, 0.0000, 3.4952]], "species": ["Ce", "Ce", "Ce", "Ce", "Ho", "Ho", "Ho", "Ho", "P", "P", "P", "P"], "fractional_positions": [[0.0000, 0.0597, 0.2500], [0.0000, 0.9403, 0.7500], [0.5000, 0.4403, 0.7500], [0.5000, 0.5597, 0.2500], [0.0000, 0.1917, 0.2500], [0.0000, 0.8083, 0.7500], [0.5000, 0.3083, 0.7500], [0.5000, 0.6917, 0.2500], [0.0000, 0.3733, 0.2500], [0.0000, 0.6267, 0.7500], [0.5000, 0.1267, 0.7500], [0.5000, 0.8733, 0.2500]]}

---

No. 2
{"formula": "Na2YMnIn", "functional": "PBE", "state": "relaxed", "relative_energy_mev_per_atom": 382, "e_form_mev_per_atom": 1060, "lattice_angstrom": [[6.0894, 0.0000, 0.0000], [0.0000, 6.0894, 0.0000], [0.0000, 0.0000, 4.8913]], "species": ["Na", "Na", "Y", "Mn", "In"], "fractional_positions": [[0.0000, 0.5000, 0.0000], [0.5000, 0.0000, 0.0000], [0.0000, 0.0000, 0.0000], [0.0000, 0.0000, 0.5000], [0.5000, 0.5000, 0.5000]]}

---

No. 3
{"formula": "Cs3CdSb2", "functional": "PBE", "state": "relaxed", "e_form_raw_ev_per_fu": -2.1, "lattice_angstrom": [[8.1851, -2.6254, 0.0000], [8.1851, 2.6254, 0.0000], [-1.3164, 0.0000, 14.4386]], "species": ["Cs", "Cs", "Cs", "Cs", "Cs", "Cs", "Cd", "Cd", "Sb", "Sb", "Sb", "Sb"], "fractional_positions": [[0.0483, 0.0483, 0.3529], [0.2318, 0.2318, 0.6277], [0.3655, 0.3655, 0.9547], [0.6345, 0.6345, 0.0453], [0.7682, 0.7682, 0.3723], [0.9517, 0.9517, 0.6471], [0.3954, 0.3954, 0.2412], [0.6046, 0.6046, 0.7588], [0.1225, 0.1225, 0.8526], [0.4165, 0.4165, 0.4560], [0.5835, 0.5835, 0.5440], [0.8775, 0.8775, 0.1474]]}

---

No. 4
{"formula": "SmMgInSn", "functional": "PBE", "state": "relaxed", "relative_energy_mev_per_atom": 0, "e_form_mev_per_atom": -488, "lattice_angstrom": [[4.5089, 0.0000, 0.0000], [0.0000, 4.6777, 0.0000], [0.0000, 0.0000, 4.7814]], "species": ["Sm", "Mg", "In", "Sn"], "fractional_positions": [[0.0000, 0.0000, 0.0000], [0.0000, 0.5000, 0.5000], [0.5000, 0.0000, 0.5000], [0.5000, 0.5000, 0.0000]]}

---

No. 5
{"formula": "Dy8Hg3S3N", "functional": "PBE", "state": "relaxed", "e_form_raw_ev_per_fu": -16.7, "lattice_angstrom": [[3.8071, 2.1980, 7.5300], [-3.8071, 2.1980, 7.5300], [0.0000, -4.3961, 7.5300]], "species": ["Dy", "Dy", "Dy", "Dy", "Dy", "Dy", "Dy", "Dy", "Hg", "Hg", "Hg", "S", "S", "S", "N"], "fractional_positions": [[0.2367, 0.2367, 0.2367], [0.2632, 0.7159, 0.7159], [0.2841, 0.2841, 0.7368], [0.2841, 0.7368, 0.2841], [0.7159, 0.2632, 0.7159], [0.7159, 0.7159, 0.2632], [0.7368, 0.2841, 0.2841], [0.7633, 0.7633, 0.7633], [0.0000, 0.5000, 0.5000], [0.5000, 0.0000, 0.5000], [0.5000, 0.5000, 0.0000], [0.0000, 0.0000, 0.5000], [0.0000, 0.5000, 0.0000], [0.5000, 0.0000, 0.0000], [0.5000, 0.5000, 0.5000]]}

---

No. 6
{"formula": "Ti7Sn2S2", "functional": "PBE", "state": "relaxed", "e_form_raw_ev_per_fu": -4.9, "lattice_angstrom": [[5.1479, -3.5957, 0.0000], [5.1479, 3.5957, 0.0000], [-0.6274, 0.0000, 5.5219]], "species": ["Ti", "Ti", "Ti", "Ti", "Ti", "Ti", "Ti", "Sn", "Sn", "S", "S"], "fractional_positions": [[0.0000, 0.0000, 0.0000], [0.0920, 0.4894, 0.7583], [0.4490, 0.4490, 0.2121], [0.4894, 0.0920, 0.7583], [0.5106, 0.9080, 0.2417], [0.5510, 0.5510, 0.7879], [0.9080, 0.5106, 0.2417], [0.1916, 0.8084, 0.5000], [0.8084, 0.1916, 0.5000], [0.2269, 0.2269, 0.0698], [0.7731, 0.7731, 0.9302]]}

---

No. 7
{"formula": "Ce5Ir2Pb2", "functional": "PBE", "state": "relaxed", "relative_energy_mev_per_atom": 137, "e_form_mev_per_atom": -393, "lattice_angstrom": [[-8.3019, 4.3842, 3.5217], [8.3019, -4.3842, 3.5217], [8.3019, 4.3842, -3.5217]], "species": ["Ce", "Ce", "Ce", "Ce", "Ce", "Ce", "Ce", "Ce", "Ce", "Ce", "Ir", "Ir", "Ir", "Ir", "Pb", "Pb", "Pb", "Pb"], "fractional_positions": [[0.1343, 0.0898, 0.5445], [0.2198, 0.0417, 0.2616], [0.2198, 0.4583, 0.6781], [0.5452, 0.5898, 0.4555], [0.6529, 0.0975, 0.2468], [0.6529, 0.9062, 0.0554], [0.7802, 0.5417, 0.3219], [0.7802, 0.9583, 0.7384], [0.8507, 0.4062, 0.7532], [0.8507, 0.5975, 0.9446], [0.0182, 0.7905, 0.7277], [0.0629, 0.2905, 0.2723], [0.7150, 0.2150, 0.5000], [0.7150, 0.7150, 0.0000], [0.2384, 0.3919, 0.0545], [0.2384, 0.6839, 0.3465], [0.3374, 0.1839, 0.9455], [0.3374, 0.8919, 0.6535]]}

---

No. 8
{"formula": "Y2MgRu", "functional": "PBE", "state": "relaxed", "e_form_mev_per_atom": -277, "lattice_angstrom": [[3.4675, 0.0000, 0.0000], [0.0000, 3.4675, 0.0000], [0.0000, 0.0000, 8.0185]], "species": ["Y", "Y", "Mg", "Ru"], "fractional_positions": [[0.0000, 0.0000, 0.2056], [0.0000, 0.0000, 0.7944], [0.5000, 0.5000, 0.5000], [0.5000, 0.5000, 0.0000]]}